Entry from Alexandria via LeMat-Bulk: a relaxed structure of Rb2BaMoF8 (PBE+U).

Calculated values
The value obtained for the final energy is -5.13 eV/atom. Its density of states at the Fermi level is 0.00 states/eV/f.u. As for the volume: 237.0 Å³/cell.

Structure (CIF):
```
data_Rb2BaMoF8
_cell_length_a 4.5125
_cell_length_b 6.4233
_cell_length_c 8.2267
_cell_angle_alpha 89.36
_cell_angle_beta 89.81
_cell_angle_gamma 83.79
_symmetry_space_group_name_H-M 'P -1'
_symmetry_Int_Tables_number 2
loop_
_symmetry_equiv_pos_as_xyz
'x,y,z'
'-x,-y,-z'
loop_
_atom_site_label
_atom_site_type_symbol
_atom_site_fract_x
_atom_site_fract_y
_atom_site_fract_z
_atom_site_occupancy
Rb1 Rb 0.0047 0.0042 0.2594 1
Ba1 Ba 0.5000 0.5000 0.0000 1
Mo1 Mo 0.5000 0.5000 0.5000 1
F1 F 0.0163 0.2668 0.9953 1
F2 F 0.1174 0.6802 0.5030 1
F3 F 0.4055 0.3111 0.6851 1
F4 F 0.4187 0.3102 0.3069 1
```